Ce2Sm3PuAs6 | PBE | optimized geometry

Lattice parameters (Å, degrees): 18.323 4.205 8.400 90.00 103.31 90.00
Space group C2/m (No. 12)
Symmetry-distinct sites (fractional):
Ce 0.166 0.000 0.332
Sm 0.000 0.500 0.500
Sm 0.167 0.000 0.834
Pu 0.000 0.500 0.000
As 0.000 0.000 0.246
As 0.166 0.500 0.085
As 0.168 0.500 0.582

Computed properties:
Electronic total energy ... -170.4 eV for the cell shown
Total magnetic moment ... 0.53 μB/atom